[1]
VASP calculation (PBE-GGA) on a relaxed structure of ThSi.

a = 4.285 Å, b = 4.285 Å, c = 4.285 Å
α = 58.57°, β = 58.57°, γ = 58.57°
Positions (direct):
Si  0.000  0.000  0.000
Th  0.500  0.500  0.500

Summary:
Total DFT energy (no corrections): -14.08 eV/f.u.
Spin magnetization: 0.00 μB per formula unit

[2]
VASP calculation (PBE-GGA) on a relaxed structure of ThSi.

a = 4.682 Å, b = 4.682 Å, c = 4.682 Å
α = 60.00°, β = 60.00°, γ = 60.00°
Positions (direct):
Si  0.000  0.000  0.000
Th  0.250  0.250  0.250

Summary:
Total DFT energy (no corrections): -12.43 eV/f.u.
Spin magnetization: 0.00 μB per formula unit

[3]
VASP calculation (PBE-GGA) on a relaxed structure of ThSi.

a = 4.075 Å, b = 4.075 Å, c = 3.766 Å
α = 90.00°, β = 90.00°, γ = 120.00°
Positions (direct):
Th  0.333  0.667  0.250
Si  0.667  0.333  0.750

Summary:
Total DFT energy (no corrections): -13.43 eV/f.u.
Spin magnetization: 0.00 μB per formula unit

The lowest total DFT energy (no corrections) belongs to which entry? number 1